# PBE-GGA AlCrIn2Si, relaxed
# Formation energy without anion corrections (eV per atom): 0.984
data_AlCrIn2Si
_space_group_name_H-M_alt 'P 4/m m m'
_space_group_IT_number 123
_space_group_name_Hall '-P 4 2'
_cell_length_a 5.1817
_cell_length_b 5.1817
_cell_length_c 4.8343
_cell_angle_alpha 90.00
_cell_angle_beta 90.00
_cell_angle_gamma 90.00
loop_
_atom_site_label
_atom_site_fract_x
_atom_site_fract_y
_atom_site_fract_z
_atom_site_occupancy
Al1 0.0000 0.0000 0.0000 1
Cr1 0.0000 0.0000 0.5000 1
In1 0.0000 0.5000 0.0000 1
Si1 0.5000 0.5000 0.5000 1

# PBE-GGA Pr5Nd3Y2, relaxed
# Formation enthalpy at 0 K (eV per formula unit): 3.3
# ΔE to the lowest computed polymorph (meV/atom): 167
data_Pr5Nd3Y2
_space_group_name_H-M_alt 'I b a m'
_space_group_IT_number 72
_space_group_name_Hall '-I 2 2c'
_cell_length_a 13.3389
_cell_length_b 16.8464
_cell_length_c 6.5832
_cell_angle_alpha 90.00
_cell_angle_beta 90.00
_cell_angle_gamma 90.00
loop_
_atom_site_label
_atom_site_fract_x
_atom_site_fract_y
_atom_site_fract_z
_atom_site_occupancy
Pr1 0.0000 0.0000 0.2500 1
Pr2 0.1012 0.3420 0.0000 1
Pr3 0.2505 0.0000 0.2500 1
Nd1 0.0000 0.5000 0.2500 1
Nd2 0.1021 0.1579 0.0000 1
Y1 0.1572 0.2478 0.5000 1

# PBE-GGA Tl2ZnPbBr6, relaxed
# Formation energy without anion corrections (eV per atom): -0.873
data_Tl2ZnPbBr6
_space_group_name_H-M_alt 'P 1'
_space_group_IT_number 1
_space_group_name_Hall 'P 1'
_cell_length_a 7.1889
_cell_length_b 8.2418
_cell_length_c 8.2968
_cell_angle_alpha 108.47
_cell_angle_beta 101.81
_cell_angle_gamma 115.38
loop_
_atom_site_label
_atom_site_fract_x
_atom_site_fract_y
_atom_site_fract_z
_atom_site_occupancy
Tl1 0.0000 0.0000 0.0000 1
Tl2 0.1704 0.4418 0.6404 1
Zn1 0.6492 0.2314 0.9975 1
Pb1 0.5736 0.7734 0.3594 1
Br1 0.0228 0.4470 0.2422 1
Br2 0.0248 0.9800 0.3963 1
Br3 0.4369 0.9248 0.0235 1
Br4 0.4435 0.4024 0.9997 1
Br5 0.6460 0.5920 0.5834 1
Br6 0.7063 0.1526 0.7071 1

# PBE-GGA CeMgCo, relaxed
# Formation enthalpy at 0 K (eV per formula unit): -0.5
data_CeMgCo
_space_group_name_H-M_alt 'C 1 2/m 1'
_space_group_IT_number 12
_space_group_name_Hall '-C 2y'
_cell_length_a 11.2624
_cell_length_b 4.8061
_cell_length_c 4.7931
_cell_angle_alpha 90.00
_cell_angle_beta 106.49
_cell_angle_gamma 90.00
loop_
_atom_site_label
_atom_site_fract_x
_atom_site_fract_y
_atom_site_fract_z
_atom_site_occupancy
Ce1 0.1346 0.0000 0.3277 1
Mg1 0.0906 0.5000 0.8170 1
Co1 0.1866 0.0000 0.8041 1